[1]
Below is crystalline BeHgPt3 at its relaxed geometry, with properties calculated at the PBE level.

Computed properties:
The density of states at the Fermi level is 2.23 states/eV/cell. The symmetry is Amm2 (38). The value obtained for the formation energy is 4.8 kJ/mol of atoms. The value obtained for the excess energy over the best structure of this formula in the dataset is 353.9 meV/atom. The calculation puts the total magnetization at 0.00 μB per cell.

abc: 2.8243 7.2746 7.2746
angles: 46.91 90.00 90.00
Atoms (fractional coordinates):
Be: 0.0000 0.0000 0.0000
Hg: 0.5000 0.3667 0.3667
Pt: 0.0000 0.1884 0.1884
Pt: 0.5000 0.3227 0.7819
Pt: 0.5000 0.7819 0.3227

=====

[2]
Below is crystalline V2CoGe at its relaxed geometry, with properties calculated at the PBE level.

Computed properties:
The density of states at the Fermi level is 3.57 states/eV/cell. The symmetry is P4/mmm (123). The value obtained for the formation energy is -9.1 kJ/mol of atoms. The calculation puts the total magnetization at 1.06 μB per cell.

abc: 3.2148 3.2148 5.0473
angles: 90.00 90.00 90.00
Atoms (fractional coordinates):
V: 0.0000 0.0000 0.2484
V: 0.0000 0.0000 0.7516
Co: 0.5000 0.5000 0.0000
Ge: 0.5000 0.5000 0.5000

=====

[3]
Below is crystalline Ac3CuAg2Pd9 at its relaxed geometry, with properties calculated at the PBE level.

Computed properties:
The density of states at the Fermi level is 3.20 states/eV/cell. The symmetry is P-3m1 (164). The value obtained for the formation energy is -21.0 kJ/mol of atoms. The calculation puts the total magnetization at 0.00 μB per cell.

abc: 7.9326 7.9326 6.3575
angles: 90.00 90.00 120.00
Atoms (fractional coordinates):
Ac: 0.0000 0.0000 0.0000
Ac: 0.3333 0.6667 0.6764
Ac: 0.6667 0.3333 0.3236
Cu: 0.0000 0.0000 0.5000
Ag: 0.3333 0.6667 0.1867
Ag: 0.6667 0.3333 0.8133
Pd: 0.0000 0.5000 0.0000
Pd: 0.1598 0.3197 0.3412
Pd: 0.1598 0.8402 0.3412
Pd: 0.3197 0.1598 0.6588
Pd: 0.5000 0.0000 0.0000
Pd: 0.5000 0.5000 0.0000
Pd: 0.6803 0.8402 0.3412
Pd: 0.8402 0.1598 0.6588
Pd: 0.8402 0.6803 0.6588

=====

[4]
Below is crystalline InBi2Se5 at its relaxed geometry, with properties calculated at the PBE level.

Computed properties:
The density of states at the Fermi level is 0.68 states/eV/cell. The symmetry is Cmcm (63). Its uncorrected formation energy is -0.24 eV/atom. The calculation puts the total magnetization at 0.00 μB per cell.

abc: 7.8406 7.8406 12.4184
angles: 90.00 90.00 135.88
Atoms (fractional coordinates):
In: 0.1938 0.8062 0.7500
In: 0.8062 0.1938 0.2500
Bi: 0.1576 0.8424 0.0642
Bi: 0.1576 0.8424 0.4358
Bi: 0.8424 0.1576 0.5642
Bi: 0.8424 0.1576 0.9358
Se: 0.0380 0.9620 0.6253
Se: 0.0380 0.9620 0.8747
Se: 0.2800 0.7200 0.2500
Se: 0.3139 0.6861 0.5815
Se: 0.3139 0.6861 0.9185
Se: 0.6861 0.3139 0.0815
Se: 0.6861 0.3139 0.4185
Se: 0.7200 0.2800 0.7500
Se: 0.9620 0.0380 0.1253
Se: 0.9620 0.0380 0.3747

=====

[5]
Below is crystalline Mg2CoW at its relaxed geometry, with properties calculated at the PBE level.

Computed properties:
The density of states at the Fermi level is 2.79 states/eV/cell. The symmetry is C2/m (12). The value obtained for the formation energy is 37.9 kJ/mol of atoms. The value obtained for the excess energy over the best structure of this formula in the dataset is 240.7 meV/atom. The calculation puts the total magnetization at 1.08 μB per cell.

abc: 5.4386 5.4386 4.5569
angles: 114.61 114.61 30.69
Atoms (fractional coordinates):
Mg: 0.2236 0.2236 0.2238
Mg: 0.7764 0.7764 0.7762
Co: 0.5000 0.5000 0.0000
W: 0.0000 0.0000 0.5000

=====

[6]
Below is crystalline AcP4Cl at its relaxed geometry, with properties calculated at the PBE level.

Computed properties:
The density of states at the Fermi level is 5.76 states/eV/cell. The symmetry is F-43m (216). Its uncorrected formation energy is -0.44 eV/atom. The calculation puts the total magnetization at 0.00 μB per cell.

abc: 5.5870 5.5870 5.5870
angles: 60.00 60.00 60.00
Atoms (fractional coordinates):
Ac: 0.0000 0.0000 0.0000
P: 0.1863 0.6046 0.6046
P: 0.6046 0.1863 0.6046
P: 0.6046 0.6046 0.1863
P: 0.6046 0.6046 0.6046
Cl: 0.2500 0.2500 0.2500

=====

[7]
Below is crystalline Sm5N4O at its relaxed geometry, with properties calculated at the PBE level.

Computed properties:
The density of states at the Fermi level is 1.89 states/eV/cell. The symmetry is Immm (71). Its uncorrected formation energy is -1.81 eV/atom. The calculation puts the total magnetization at 0.00 μB per cell.

abc: 9.4578 9.4578 9.4578
angles: 158.23 149.05 38.16
Atoms (fractional coordinates):
Sm: 0.0000 0.0000 0.0000
Sm: 0.1999 0.1999 0.0000
Sm: 0.3963 0.3963 0.0000
Sm: 0.6037 0.6037 0.0000
Sm: 0.8001 0.8001 0.0000
N: 0.0983 0.5983 0.5000
N: 0.3031 0.8031 0.5000
N: 0.6969 0.1969 0.5000
N: 0.9017 0.4017 0.5000
O: 0.5000 0.0000 0.5000

=====

[8]
Below is crystalline V5Ge4Ir at its relaxed geometry, with properties calculated at the PBE level.

Computed properties:
The density of states at the Fermi level is 12.43 states/eV/cell. The symmetry is Pmmn (59). The value obtained for the formation energy is -5.4 kJ/mol of atoms. The calculation puts the total magnetization at 0.00 μB per cell.

abc: 7.4727 8.8521 4.6480
angles: 90.00 90.00 90.00
Atoms (fractional coordinates):
V: 0.0836 0.0039 0.2504
V: 0.0836 0.4961 0.2504
V: 0.2500 0.7500 0.0505
V: 0.4164 0.0039 0.2504
V: 0.4164 0.4961 0.2504
V: 0.5836 0.5039 0.7496
V: 0.5836 0.9961 0.7496
V: 0.7500 0.2500 0.9495
V: 0.9164 0.5039 0.7496
V: 0.9164 0.9961 0.7496
Ge: 0.0523 0.7500 0.5382
Ge: 0.2500 0.0313 0.7530
Ge: 0.2500 0.4687 0.7530
Ge: 0.4477 0.7500 0.5382
Ge: 0.5523 0.2500 0.4618
Ge: 0.7500 0.5313 0.2470
Ge: 0.7500 0.9687 0.2470
Ge: 0.9477 0.2500 0.4618
Ir: 0.2500 0.2500 0.1223
Ir: 0.7500 0.7500 0.8777